1.
DFT (GGA-PBE) results for crystalline KLa3Tl at its relaxed geometry.

Cell and atoms, written as extended XYZ:
```
5
Lattice="5.632 0.000 0.000 0.000 5.632 0.000 0.000 0.000 5.632" Properties=species:S:1:pos:R:3 pbc="T T T"
La 2.816 0.000 0.000
La 0.000 0.000 2.816
La 0.000 2.816 0.000
Tl 2.816 2.816 2.816
K 0.000 0.000 0.000
```

As for the space-group type: Pm-3m (221). The calculation puts the formation energy from the elements at 913 meV per atom. The energy relative to the lowest polymorph listed for this composition is 0.593 eV/atom.


2.
DFT (GGA-PBE) results for crystalline Ac2LaSb3Rh6 at its relaxed geometry.

Cell and atoms, written as extended XYZ:
```
12
Lattice="-1.642 0.468 -3.818 -1.516 -3.894 0.175 -14.678 6.030 7.050" Properties=species:S:1:pos:R:3 pbc="T T T"
Ac -3.883 -0.766 -0.715
Ac -13.953 3.370 4.122
Sb -10.347 4.251 4.970
Sb -4.331 1.779 2.080
Sb 0.000 0.000 0.000
Rh -2.156 0.886 1.036
Rh -6.397 2.524 0.769
Rh -9.860 1.792 4.459
Rh -12.523 5.144 6.015
Rh -6.334 0.344 2.766
Rh -9.923 3.973 2.463
La -8.918 1.302 1.704
```

As for the space-group type: P4/mmm (123). Its electronic total energy is -0.4653 Ry per atom.


3.
DFT (GGA-PBE) results for crystalline BeZnPb at its relaxed geometry.

Cell and atoms, written as extended XYZ:
```
3
Lattice="-0.985 -0.471 -6.296 -1.012 -3.410 -5.288 -3.092 0.000 -0.300" Properties=species:S:1:pos:R:3 pbc="T T T"
Pb -2.709 -1.356 -4.242
Be -3.057 -0.124 -0.659
Zn -2.414 -2.402 -7.283
```

As for the space-group type: Fmm2 (42). The calculation puts the formation energy from the elements at 446 meV per atom.


4.
DFT (GGA-PBE) results for crystalline KReSi2 at its relaxed geometry.

Cell and atoms, written as extended XYZ:
```
4
Lattice="5.297 -0.012 0.000 2.263 4.790 0.000 -3.780 -2.389 2.840" Properties=species:S:1:pos:R:3 pbc="T T T"
Re 2.649 -0.006 1.420
Si 0.000 0.000 0.000
Si 1.131 2.395 1.420
K 3.780 2.389 0.000
```

As for the space-group type: I-4m2 (119). The energy relative to the lowest polymorph listed for this composition is 1.252 eV/atom.


5.
DFT (GGA-PBE) results for crystalline NaIr2C2 at its relaxed geometry.

Cell and atoms, written as extended XYZ:
```
10
Lattice="7.734 0.000 0.000 0.000 7.734 0.000 0.000 0.000 3.217" Properties=species:S:1:pos:R:3 pbc="T T T"
Ir 2.966 6.833 0.000
Ir 4.768 0.901 0.000
Ir 6.833 4.768 0.000
Ir 0.901 2.966 0.000
C 1.535 2.332 1.608
C 6.199 5.402 1.608
C 5.402 1.535 1.608
C 2.332 6.199 1.608
Na 0.000 0.000 0.000
Na 3.867 3.867 0.000
```

As for the space-group type: P4/mbm (127). The calculation puts the formation energy from the elements at 1008 meV per atom. The energy relative to the lowest polymorph listed for this composition is 0.228 eV/atom.


6.
DFT (GGA-PBE) results for crystalline VCr4Au at its relaxed geometry.

Cell and atoms, written as extended XYZ:
```
6
Lattice="-3.071 1.166 3.498 -1.867 -3.425 2.794 1.349 -0.350 4.592" Properties=species:S:1:pos:R:3 pbc="T T T"
Cr -2.905 -1.454 4.517
Cr -2.238 -1.627 6.788
Cr -1.315 0.067 5.406
Cr -0.720 -2.204 5.058
Au 0.000 0.000 0.000
V -0.897 -0.652 2.721
```

As for the space-group type: F-43m (216). The calculation puts the formation energy from the elements at 179 meV per atom.


In Mg/m³, the density values for the records above are, in order, 6.1; 8.6; 8.1; 6.5; 7.4; 9.7.